Record 1
Os2RuCl PBE optimized geometry; raw formation energy = 0.79 eV per atom; raw total energy = -0.2795 Ha/atom; space-group type = Pmm2, No. 25; total magnetization = 0.000 μB per atom; D(E_F) = 4.6 states/eV/cell; relative energy among the computed polymorphs = 0.2833 eV/atom
1.0
2.785 0.000 0.000
0.000 3.531 0.000
0.000 0.000 6.741
Cl Os Ru
1 2 1
Direct
0.500 0.500 0.739
0.000 0.000 0.056
0.500 0.500 0.250
0.000 0.000 0.455



Record 2
KHfAg2Sb PBE optimized geometry; raw formation energy = 1.40 eV per atom; raw total energy = -0.1019 Ha/atom; space-group type = P4/mmm, No. 123; total magnetization = 0.000 μB per atom; D(E_F) = 3.0 states/eV/cell
1.0
-4.369 2.174 -1.136
-2.616 -5.184 0.139
-0.962 0.617 4.878
Sb K Hf Ag
1 1 1 2
Direct
0.000 0.500 0.000
0.000 0.000 0.000
0.500 0.500 0.500
0.000 0.000 0.500
0.500 0.000 0.000